1.
This record from Alexandria describes crystalline Hg2OsS at its relaxed geometry. The functional is PBE.

The uncorrected formation energy comes out at 0.404 eV per atom. The value obtained for the total energy is -14.3 eV per formula unit.

The space group is I-42d (No. 122) and the conventional cell measures 9.790, 9.790 and 4.317 Å, with angles of 90.00, 90.00 and 90.00 degrees. The inequivalent atoms are Hg at (0.123, 0.750, 0.125), Os at (0.000, 0.000, 0.000) and S at (0.000, 0.000, 0.500).

2.
This record from Alexandria describes crystalline ThVOs at its relaxed geometry. The functional is PBE.

The polymorph energy (0 for the lowest one) comes out at 0.19 eV/f.u. As for the formation energy from the elements: 0.0179 eV/atom. The value obtained for the total energy is -27.7 eV per formula unit.

The space group is I4mm (No. 107) and the conventional cell measures 3.144, 3.144 and 11.842 Å, with angles of 90.00, 90.00 and 90.00 degrees. The inequivalent atoms are Th at (0.000, 0.000, 0.000), V at (0.000, 0.000, 0.703) and Os at (0.000, 0.000, 0.304).

3.
This record from Alexandria describes crystalline Pm2Al4CuNi3 at its relaxed geometry. The functional is PBE.

As for the formation energy from the elements: -0.5130 eV/atom. The value obtained for the total energy is -51.0 eV per formula unit.

The space group is P-4m2 (No. 115) and the conventional cell measures 4.119, 4.119 and 10.246 Å, with angles of 90.00, 90.00 and 90.00 degrees. The inequivalent atoms are Pm at (0.000, 0.500, 0.247), Al at (0.000, 0.000, 0.000), Al at (0.000, 0.500, 0.627), Al at (0.500, 0.500, 0.000), Cu at (0.000, 0.000, 0.500), Ni at (0.000, 0.500, 0.867) and Ni at (0.500, 0.500, 0.500).

4.
This record from Alexandria describes crystalline Tl2PbI at its relaxed geometry. The functional is PBE.

The polymorph energy (0 for the lowest one) comes out at 0.00 eV/f.u. The uncorrected formation energy comes out at -0.154 eV per atom. The value obtained for the total energy is -10.6 eV per formula unit.

The space group is P4/mmm (No. 123) and the conventional cell measures 5.944, 5.944 and 3.868 Å, with angles of 90.00, 90.00 and 90.00 degrees. The inequivalent atoms are Tl at (0.000, 0.500, 0.000), Pb at (0.000, 0.000, 0.500) and I at (0.500, 0.500, 0.500).

5.
This record from Alexandria describes crystalline Sm2ScGa at its relaxed geometry. The functional is PBE.

The polymorph energy (0 for the lowest one) comes out at 0.40 eV/f.u. As for the formation energy from the elements: -0.1443 eV/atom. The value obtained for the total energy is -19.4 eV per formula unit.

The space group is Fm-3m (No. 225) and the conventional cell measures 7.474, 7.474 and 7.474 Å, with angles of 90.00, 90.00 and 90.00 degrees. The inequivalent atoms are Sm at (0.250, 0.250, 0.250), Sc at (0.000, 0.000, 0.000) and Ga at (0.000, 0.000, 0.500).

6.
This record from Alexandria describes crystalline SrPrSm at its relaxed geometry. The functional is PBE.

The polymorph energy (0 for the lowest one) comes out at 0.54 eV/f.u. As for the formation energy from the elements: 0.2650 eV/atom. The value obtained for the total energy is -10.4 eV per formula unit.

The space group is P4/nmm (No. 129, origin choice 2) and the conventional cell measures 5.073, 5.073 and 9.484 Å, with angles of 90.00, 90.00 and 90.00 degrees. The inequivalent atoms are Sr at (0.250, 0.250, 0.165), Pr at (0.250, 0.250, 0.767) and Sm at (0.250, 0.750, 0.500).

7.
This record from Alexandria describes crystalline NiAu2 at its relaxed geometry. The functional is PBE.

As for the formation energy from the elements: 0.5549 eV/atom. The value obtained for the total energy is -10.7 eV per formula unit.

The space group is Fd-3m (No. 227, origin choice 2) and the conventional cell measures 7.608, 7.608 and 7.608 Å, with angles of 90.00, 90.00 and 90.00 degrees. The inequivalent atoms are Ni at (0.125, 0.125, 0.125) and Au at (0.000, 0.000, 0.500).

8.
This record from Alexandria describes crystalline YAlCd at its relaxed geometry. The functional is PBE.

As for the formation energy from the elements: -0.3274 eV/atom. The value obtained for the total energy is -12.1 eV per formula unit.

The space group is Cm (No. 8) and the conventional cell measures 10.900, 4.277 and 5.999 Å, with angles of 90.00, 91.37 and 90.00 degrees. The inequivalent atoms are Y at (0.000, 0.000, 0.000), Y at (0.108, 0.500, 0.486), Al at (0.312, 0.000, 0.254), Al at (0.409, 0.500, 0.485), Cd at (0.202, 0.500, 0.998) and Cd at (0.313, 0.000, 0.736).